# 1
K3GaSb: relaxed, PBE.

Summary:
The value obtained for the total magnetization is 0.1105 μB/atom. As for the space group: Ima2. As for the excess energy over the best structure of this formula in the dataset: 0.0 meV per atom. For the energy relative to the elements, uncorrected, the calculation gives -157.7 meV per atom. As for the density of states at the Fermi level: 5.4 states/eV per cell.

```
K3GaSb
1.0
-5.655 4.296 4.752
5.655 -4.296 4.752
5.655 4.296 -4.752
K Ga Sb
6 2 2
Direct
0.212 0.526 0.187 K
0.238 0.027 0.265 K
0.238 0.473 0.710 K
0.339 0.026 0.813 K
0.762 0.527 0.290 K
0.762 0.973 0.735 K
0.624 0.889 0.235 Ga
0.654 0.389 0.765 Ga
0.865 0.160 0.205 Sb
0.955 0.660 0.795 Sb
```

# 2
Tb12Sm3Th: relaxed, PBE.

Summary:
The value obtained for the total magnetization is 0.0000 μB/atom. As for the space group: P4/mmm. As for the density of states at the Fermi level: 22.0 states/eV per cell. Its energy of formation is 0.02 eV per atom.

```
Tb12Sm3Th
1.0
5.058 0.000 0.000
0.000 5.058 0.000
0.000 0.000 20.198
Tb Sm Th
12 3 1
Direct
0.000 0.000 0.000 Tb
0.000 0.000 0.250 Tb
0.000 0.000 0.500 Tb
0.000 0.000 0.750 Tb
0.000 0.500 0.123 Tb
0.000 0.500 0.374 Tb
0.000 0.500 0.626 Tb
0.000 0.500 0.877 Tb
0.500 0.000 0.123 Tb
0.500 0.000 0.374 Tb
0.500 0.000 0.626 Tb
0.500 0.000 0.877 Tb
0.500 0.500 0.249 Sm
0.500 0.500 0.500 Sm
0.500 0.500 0.751 Sm
0.500 0.500 0.000 Th
```

# 3
Ca4Pu3InN8: relaxed, PBE.

Summary:
The value obtained for the total magnetization is 0.6875 μB/atom. As for the space group: R-3m. For the energy relative to the elements, uncorrected, the calculation gives -987.1 meV per atom. As for the density of states at the Fermi level: 18.0 states/eV per cell.

```
Ca4Pu3InN8
1.0
3.450 1.992 5.696
-3.450 1.992 5.696
0.000 -3.984 5.696
Ca Pu In N
4 3 1 8
Direct
0.000 0.000 0.000 Ca
0.000 0.500 0.500 Ca
0.500 0.000 0.500 Ca
0.500 0.500 0.000 Ca
0.000 0.000 0.500 Pu
0.000 0.500 0.000 Pu
0.500 0.000 0.000 Pu
0.500 0.500 0.500 In
0.227 0.747 0.747 N
0.239 0.239 0.239 N
0.253 0.253 0.773 N
0.253 0.773 0.253 N
0.747 0.227 0.747 N
0.747 0.747 0.227 N
0.761 0.761 0.761 N
0.773 0.253 0.253 N
```

# 4
Y2UTcC4: relaxed, PBE.

Summary:
The value obtained for the total magnetization is 0.2302 μB/atom. As for the space group: Cmcm. As for the density of states at the Fermi level: 16.4 states/eV per cell. Its energy of formation is 0.08 eV per atom.

```
Y2UTcC4
1.0
1.716 -5.896 0.000
1.716 5.896 0.000
0.000 0.000 12.150
Y U Tc C
4 2 2 8
Direct
0.131 0.869 0.541 Y
0.131 0.869 0.959 Y
0.869 0.131 0.041 Y
0.869 0.131 0.459 Y
0.402 0.598 0.750 U
0.598 0.402 0.250 U
0.337 0.663 0.250 Tc
0.663 0.337 0.750 Tc
0.059 0.941 0.750 C
0.227 0.773 0.136 C
0.227 0.773 0.364 C
0.500 0.500 0.000 C
0.500 0.500 0.500 C
0.773 0.227 0.636 C
0.773 0.227 0.864 C
0.941 0.059 0.250 C
```